[1]
VASP calculation (PBE) on a relaxed structure of ThUP2Ru5.

The space group is P4/mmm, No. 123. Its energy of formation from the pure elements is -0.7795 eV/atom. As for the density of states at the Fermi level: 0.43 states/eV per atom. As for the volume: 16.27 A^3/atom. As for the total energy: -9.214 eV/atom.

Lattice parameters (Å, degrees): 4.0969 4.0969 8.7248 90.00 90.00 90.00
Fractional coordinates of all 9 atoms:
Th: 0.0000 0.0000 0.0000
U: 0.0000 0.0000 0.5000
P: 0.5000 0.5000 0.1408
P: 0.5000 0.5000 0.8592
Ru: 0.0000 0.5000 0.2735
Ru: 0.0000 0.5000 0.7265
Ru: 0.5000 0.0000 0.2735
Ru: 0.5000 0.0000 0.7265
Ru: 0.5000 0.5000 0.5000

[2]
VASP calculation (PBE) on a relaxed structure of Ac3ErTl12.

The space group is P4/mmm, No. 123. Its energy of formation from the pure elements is -0.2757 eV/atom. As for the density of states at the Fermi level: 0.45 states/eV per atom. As for the volume: 30.32 A^3/atom. As for the total energy: -3.106 eV/atom.

Lattice parameters (Å, degrees): 4.9485 4.9485 19.8089 90.00 90.00 90.00
Fractional coordinates of all 16 atoms:
Ac: 0.0000 0.0000 0.0000
Ac: 0.0000 0.0000 0.2589
Ac: 0.0000 0.0000 0.7411
Er: 0.0000 0.0000 0.5000
Tl: 0.0000 0.5000 0.1288
Tl: 0.0000 0.5000 0.3857
Tl: 0.0000 0.5000 0.6143
Tl: 0.0000 0.5000 0.8712
Tl: 0.5000 0.0000 0.1288
Tl: 0.5000 0.0000 0.3857
Tl: 0.5000 0.0000 0.6143
Tl: 0.5000 0.0000 0.8712
Tl: 0.5000 0.5000 0.0000
Tl: 0.5000 0.5000 0.2518
Tl: 0.5000 0.5000 0.5000
Tl: 0.5000 0.5000 0.7482

[3]
VASP calculation (PBE) on a relaxed structure of AlPO2F.

The space group is P4/mmm, No. 123. As for the density of states at the Fermi level: 0.49 states/eV per atom. As for the volume: 12.82 A^3/atom. As for the total energy: -3.655 eV/atom.

Lattice parameters (Å, degrees): 4.3639 4.3639 3.3658 90.00 90.00 90.00
Fractional coordinates of all 5 atoms:
Al: 0.0000 0.0000 0.0000
P: 0.5000 0.5000 0.0000
O: 0.0000 0.5000 0.5000
O: 0.5000 0.0000 0.5000
F: 0.5000 0.5000 0.5000

[4]
VASP calculation (PBE) on a relaxed structure of Tb6PrTm3.

The space group is Cmc2_1, No. 36. Its energy of formation from the pure elements is 0.1535 eV/atom. As for the density of states at the Fermi level: 1.38 states/eV per atom. As for the volume: 32.27 A^3/atom. Its energy above the most stable polymorph in this dataset is 0 meV per atom. As for the total energy: -4.444 eV/atom.

Lattice parameters (Å, degrees): 10.9572 10.9572 6.1893 90.00 90.00 119.71
Fractional coordinates of all 20 atoms:
Tb: 0.0427 0.4621 0.9553
Tb: 0.0453 0.9547 0.5000
Tb: 0.2831 0.7169 0.2339
Tb: 0.2903 0.3799 0.1237
Tb: 0.3799 0.2903 0.6237
Tb: 0.4621 0.0427 0.4553
Tb: 0.5379 0.9573 0.9553
Tb: 0.6201 0.7097 0.1237
Tb: 0.7097 0.6201 0.6237
Tb: 0.7169 0.2831 0.7339
Tb: 0.9547 0.0453 0.0000
Tb: 0.9573 0.5379 0.4553
Pr: 0.2048 0.7952 0.7382
Pr: 0.7952 0.2048 0.2382
Tm: 0.0642 0.2831 0.5478
Tm: 0.2831 0.0642 0.0478
Tm: 0.3887 0.6113 0.6657
Tm: 0.6113 0.3887 0.1657
Tm: 0.7169 0.9358 0.5478
Tm: 0.9358 0.7169 0.0478